First-principles (PBE) data for an optimized crystal structure of TbAl, as listed in Alexandria.

## Properties
DFT formation energy ... -418 meV per atom
DFT total energy ... -73.7 eV per cell

abc: 5.8601 11.4855 5.6301
angles: 90.00 90.00 90.00
Last column: nearest neighbours and their distance in Å.
Positions (direct):
Tb (0.0985, 0.1679, 0.2500)  6 Al 3.08-3.30, 3 Tb 3.30-3.39
Tb (0.0985, 0.3321, 0.7500)  6 Al 3.08-3.30, 3 Tb 3.30-3.39
Tb (0.3368, 0.0147, 0.7500)  8 Al 3.08-3.40, 3 Tb 3.30-3.42
Tb (0.3368, 0.4853, 0.2500)  8 Al 3.08-3.40, 3 Tb 3.30-3.42
Tb (0.6632, 0.5147, 0.7500)  8 Al 3.08-3.40, 3 Tb 3.30-3.42
Tb (0.6632, 0.9853, 0.2500)  8 Al 3.08-3.40, 3 Tb 3.30-3.42
Tb (0.9015, 0.6679, 0.2500)  6 Al 3.08-3.30, 3 Tb 3.30-3.39
Tb (0.9015, 0.8321, 0.7500)  6 Al 3.08-3.30, 3 Tb 3.30-3.39
Al (0.1624, 0.5984, 0.7500)  2 Al 2.74
Al (0.1624, 0.9016, 0.2500)  2 Al 2.74
Al (0.4305, 0.7500, 0.0000)  4 Al 2.74-2.82
Al (0.4305, 0.7500, 0.5000)  4 Al 2.74-2.82
Al (0.5695, 0.2500, 0.0000)  4 Al 2.74-2.82
Al (0.5695, 0.2500, 0.5000)  4 Al 2.74-2.82
Al (0.8376, 0.0984, 0.7500)  2 Al 2.74
Al (0.8376, 0.4016, 0.2500)  2 Al 2.74

=====

First-principles (PBE) data for an optimized crystal structure of Sr2SbSe2O2, as listed in Alexandria.

## Properties
DFT total energy ... -73.2 eV per cell
Formation energy without anion corrections ... -1.7490 eV per atom

abc: 12.5876 3.9587 7.4074
angles: 90.00 120.43 90.00
Last column: nearest neighbours and their distance in Å.
Positions (direct):
Sr (0.1956, 0.0000, 0.2483)  3 O 2.43-2.50
Sr (0.3044, 0.5000, 0.7517)  3 O 2.43-2.50
Sr (0.6956, 0.5000, 0.2483)  3 O 2.43-2.50
Sr (0.8044, 0.0000, 0.7517)  3 O 2.43-2.50
Sb (0.0000, 0.0000, 0.5000)  2 O 2.09
Sb (0.5000, 0.5000, 0.5000)  2 O 2.09
Se (0.0501, 0.5000, 0.8089)  2 Sb 2.84
Se (0.4499, 0.0000, 0.1911)  2 Sb 2.84
Se (0.5501, 0.0000, 0.8089)  2 Sb 2.84
Se (0.9499, 0.5000, 0.1911)  2 Sb 2.84
O (0.1843, 0.0000, 0.5754)  1 Sb 2.09
O (0.3157, 0.5000, 0.4246)  1 Sb 2.09
O (0.6843, 0.5000, 0.5754)  1 Sb 2.09
O (0.8157, 0.0000, 0.4246)  1 Sb 2.09

=====

First-principles (PBE) data for an optimized crystal structure of Cr2GePbAu, as listed in Alexandria.

## Properties
DFT formation energy ... 835 meV per atom
DFT total energy ... -26.7 eV per cell

abc: 4.7755 4.7755 5.4907
angles: 90.00 90.00 90.00
Last column: nearest neighbours and their distance in Å.
Positions (direct):
Cr (0.0000, 0.5000, 0.0000)  2 Ge 2.39
Cr (0.5000, 0.0000, 0.0000)  2 Ge 2.39
Ge (0.0000, 0.0000, 0.0000)  4 Cr 2.39
Pb (0.0000, 0.0000, 0.5000)  2 Ge 2.75
Au (0.5000, 0.5000, 0.5000)  4 Pb 3.38, 8 Cr 3.64

=====

First-principles (PBE) data for an optimized crystal structure of LuO3, as listed in Alexandria.

## Properties
DFT total energy ... -50.7 eV per cell
Energy relative to the lowest polymorph listed for this composition ... 309 meV per atom
Formation energy without anion corrections ... -1.4845 eV per atom

abc: 4.5405 4.5405 4.5986
angles: 90.00 90.00 120.00
Last column: nearest neighbours and their distance in Å.
Positions (direct):
Lu (0.3333, 0.6667, 0.2500)  6 O 2.27
Lu (0.6667, 0.3333, 0.7500)  6 O 2.27
O (0.1775, 0.3550, 0.7500)  2 O 2.12, 2 Lu 2.27
O (0.1775, 0.8225, 0.7500)  2 O 2.12, 2 Lu 2.27
O (0.3550, 0.1775, 0.2500)  2 O 2.12, 2 Lu 2.27
O (0.6450, 0.8225, 0.7500)  2 O 2.12, 2 Lu 2.27
O (0.8225, 0.1775, 0.2500)  2 O 2.12, 2 Lu 2.27
O (0.8225, 0.6450, 0.2500)  2 O 2.12, 2 Lu 2.27

=====

First-principles (PBE) data for an optimized crystal structure of MnGaCoSe2, as listed in Alexandria.

## Properties
DFT total energy ... -26.7 eV per cell
Energy relative to the lowest polymorph listed for this composition ... 120 meV per atom
Formation energy without anion corrections ... -0.0812 eV per atom

abc: 3.9495 4.0079 5.4949
angles: 90.00 90.00 90.00
Last column: nearest neighbours and their distance in Å.
Positions (direct):
Mn (0.0000, 0.0000, 0.0000)  4 Se 2.37-2.46, 2 Ga 2.54
Ga (0.0000, 0.5000, 0.7154)  1 Se 2.51, 2 Co 2.51, 2 Mn 2.54
Co (0.5000, 0.5000, 0.9968)  4 Se 2.39-2.44, 2 Ga 2.51
Se (0.0000, 0.5000, 0.2590)  2 Co 2.44, 2 Mn 2.46, 1 Ga 2.51
Se (0.5000, 0.0000, 0.7609)  2 Mn 2.37, 2 Co 2.39

=====

First-principles (PBE) data for an optimized crystal structure of KRb2BiOs, as listed in Alexandria.

## Properties
DFT formation energy ... 741 meV per atom
DFT total energy ... -14.4 eV per cell

abc: 7.1350 7.1350 5.1694
angles: 90.00 90.00 90.00
Last column: nearest neighbours and their distance in Å.
Positions (direct):
K (0.0000, 0.0000, 0.0000)  8 Rb 4.41
Rb (0.0000, 0.5000, 0.5000)  2 Bi 3.57
Rb (0.5000, 0.0000, 0.5000)  2 Bi 3.57
Bi (0.5000, 0.5000, 0.5000)  2 Os 2.58
Os (0.5000, 0.5000, 0.0000)  2 Bi 2.58